ZnS: relaxed, PBE-GGA.

Cell lengths 3.8360, 3.8360, 62.6988 Å; angles 90.00, 90.00, 120.00 degrees
Space group P3m1 (No. 156)
Asymmetric unit:
Zn  0.0000  0.0000  0.0000 x1
Zn  0.0000  0.0000  0.1000 x1
Zn  0.0000  0.0000  0.2500 x1
Zn  0.0000  0.0000  0.4500 x1
Zn  0.0000  0.0000  0.5500 x1
Zn  0.0000  0.0000  0.7000 x1
Zn  0.0000  0.0000  0.8500 x1
Zn  0.3333  0.6667  0.0500 x1
Zn  0.3333  0.6667  0.2000 x1
Zn  0.3333  0.6667  0.3500 x1
Zn  0.3333  0.6667  0.5000 x1
Zn  0.3333  0.6667  0.6500 x1
Zn  0.3333  0.6667  0.7500 x1
Zn  0.3333  0.6667  0.9000 x1
Zn  0.6667  0.3333  0.1500 x1
Zn  0.6667  0.3333  0.3000 x1
Zn  0.6667  0.3333  0.4000 x1
Zn  0.6667  0.3333  0.6000 x1
Zn  0.6667  0.3333  0.8000 x1
Zn  0.6667  0.3333  0.9500 x1
S  0.0000  0.0000  0.0375 x1
S  0.0000  0.0000  0.1375 x1
S  0.0000  0.0000  0.2875 x1
S  0.0000  0.0000  0.4875 x1
S  0.0000  0.0000  0.5875 x1
S  0.0000  0.0000  0.7375 x1
S  0.0000  0.0000  0.8875 x1
S  0.3333  0.6667  0.0875 x1
S  0.3333  0.6667  0.2375 x1
S  0.3333  0.6667  0.3875 x1
S  0.3333  0.6667  0.5375 x1
S  0.3333  0.6667  0.6875 x1
S  0.3333  0.6667  0.7875 x1
S  0.3333  0.6667  0.9375 x1
S  0.6667  0.3333  0.1875 x1
S  0.6667  0.3333  0.3375 x1
S  0.6667  0.3333  0.4375 x1
S  0.6667  0.3333  0.6375 x1
S  0.6667  0.3333  0.8375 x1
S  0.6667  0.3333  0.9875 x1

The calculation puts the energy at -140.31 eV for the cell shown. Its crystal system is trigonal.